No. 1
# Na3B6ClO10

Na3B6ClO10 after structural relaxation (PBEsol, Alexandria).

Unit cell a=7.4888 b=9.9367 c=12.8432 alpha=90.00 beta=90.00 gamma=90.00
Closest atoms and distances in Å follow each position.
Element x y z (fractional)
Na: 0.5602 0.7043 0.2578  4 O 2.38-2.64
Na: 0.9398 0.2957 0.7578  4 O 2.38-2.64
Na: 0.0602 0.7957 0.7422  4 O 2.38-2.64
Na: 0.4398 0.2043 0.2422  4 O 2.38-2.64
Na: 0.0306 0.7621 0.2465  4 O 2.39-2.62
Na: 0.4694 0.2379 0.7465  4 O 2.39-2.62
Na: 0.5306 0.7379 0.7535  4 O 2.39-2.62
Na: 0.9694 0.2621 0.2535  4 O 2.39-2.62
Na: 0.9164 0.5092 0.0650  4 O 2.38-2.54
Na: 0.5836 0.4908 0.5650  4 O 2.38-2.54
Na: 0.4164 0.9908 0.9350  4 O 2.38-2.54
Na: 0.0836 0.0092 0.4350  4 O 2.38-2.54
B: 0.7552 0.9997 0.2562  3 O 1.37-1.38
B: 0.7448 0.0003 0.7562  3 O 1.37-1.38
B: 0.2552 0.5003 0.7438  3 O 1.37-1.38
B: 0.2448 0.4997 0.2438  3 O 1.37-1.38
B: 0.9750 0.2344 0.9802  3 O 1.36-1.38
B: 0.5250 0.7656 0.4802  3 O 1.36-1.38
B: 0.4750 0.2656 0.0198  3 O 1.36-1.38
B: 0.0250 0.7344 0.5198  3 O 1.36-1.38
B: 0.2559 0.6315 0.9098  4 O 1.45-1.51
B: 0.2441 0.3685 0.4098  4 O 1.45-1.51
B: 0.7559 0.8685 0.0902  4 O 1.45-1.51
B: 0.7441 0.1315 0.5902  4 O 1.45-1.51
B: 0.8814 0.0030 0.9323  4 O 1.46-1.52
B: 0.6186 0.9970 0.4323  4 O 1.46-1.52
B: 0.3814 0.4970 0.0677  4 O 1.46-1.52
B: 0.1186 0.5030 0.5677  4 O 1.46-1.52
B: 0.9890 0.7728 0.9746  3 O 1.36-1.38
B: 0.5110 0.2272 0.4746  3 O 1.36-1.38
B: 0.4890 0.7272 0.0254  3 O 1.36-1.38
B: 0.0110 0.2728 0.5254  3 O 1.36-1.38
B: 0.2417 0.3698 0.9113  4 O 1.45-1.51
B: 0.2583 0.6302 0.4113  4 O 1.45-1.51
B: 0.7417 0.1302 0.0887  4 O 1.45-1.51
B: 0.7583 0.8698 0.5887  4 O 1.45-1.51
Cl: 0.8335 0.5224 0.2738  4 Na 2.74-2.82
Cl: 0.6665 0.4776 0.7738  4 Na 2.74-2.82
Cl: 0.3335 0.9776 0.7262  4 Na 2.74-2.82
Cl: 0.1665 0.0224 0.2262  4 Na 2.74-2.82
O: 0.8168 0.0008 0.0444  3 B 1.51-1.52
O: 0.6832 0.9992 0.5444  3 B 1.51-1.52
O: 0.3168 0.4992 0.9556  3 B 1.51-1.52
O: 0.1832 0.5008 0.4556  3 B 1.51-1.52
O: 0.8824 0.7635 0.0619  2 B 1.38-1.46
O: 0.6176 0.2365 0.5619  2 B 1.38-1.46
O: 0.3824 0.7365 0.9381  2 B 1.38-1.46
O: 0.1176 0.2635 0.4381  2 B 1.38-1.46
O: 0.8663 0.2393 0.0667  2 B 1.38-1.46
O: 0.6337 0.7607 0.5667  2 B 1.38-1.46
O: 0.3663 0.2607 0.9333  2 B 1.38-1.46
O: 0.1337 0.7393 0.4333  2 B 1.38-1.46
O: 0.7582 0.8784 0.2046  2 B 1.38-1.47
O: 0.7418 0.1216 0.7046  2 B 1.38-1.47
O: 0.2582 0.6216 0.7954  2 B 1.38-1.47
O: 0.2418 0.3784 0.2954  2 B 1.38-1.47
O: 0.7285 0.1181 0.2024  2 B 1.38-1.47
O: 0.7715 0.8819 0.7024  2 B 1.38-1.47
O: 0.2285 0.3819 0.7976  2 B 1.38-1.47
O: 0.2715 0.6181 0.2976  2 B 1.38-1.47
O: 0.9986 0.8867 0.9152  2 B 1.37-1.47
O: 0.5014 0.1133 0.4152  2 B 1.37-1.47
O: 0.4986 0.6133 0.0848  2 B 1.37-1.47
O: 0.0014 0.3867 0.5848  2 B 1.37-1.47
O: 0.7728 0.0036 0.3625  2 B 1.37-1.46
O: 0.7272 0.9964 0.8625  2 B 1.37-1.46
O: 0.2728 0.4964 0.6375  2 B 1.37-1.46
O: 0.2272 0.5036 0.1375  2 B 1.37-1.46
O: 0.9818 0.1265 0.9147  2 B 1.36-1.46
O: 0.5182 0.8735 0.4147  2 B 1.36-1.46
O: 0.4818 0.3735 0.0853  2 B 1.36-1.46
O: 0.0182 0.6265 0.5853  2 B 1.36-1.46
O: 0.0781 0.6577 0.9488  2 B 1.36-1.45
O: 0.4219 0.3423 0.4488  2 B 1.36-1.45
O: 0.5781 0.8423 0.0512  2 B 1.36-1.45
O: 0.9219 0.1577 0.5512  2 B 1.36-1.45
O: 0.0672 0.3500 0.9582  2 B 1.37-1.45
O: 0.4328 0.6500 0.4582  2 B 1.37-1.45
O: 0.5672 0.1500 0.0418  2 B 1.37-1.45
O: 0.9328 0.8500 0.5419  2 B 1.37-1.45

Raw formation energy ... -2.359 eV per atom
D(E_F) ... 0.00 states/eV per atom
Spin magnetization ... 0.38 μB/cell
Electronic total energy ... -7.398 eV/atom

No. 2
# LaTlAu2

LaTlAu2 after structural relaxation (PBEsol, Alexandria).

Unit cell a=5.0646 b=5.0646 c=5.0659 alpha=60.01 beta=60.01 gamma=60.00
Closest atoms and distances in Å follow each position.
Element x y z (fractional)
Tl: 0.0000 0.0000 0.0000  8 Au 3.10
Au: 0.2500 0.2500 0.2502  4 La 3.10, 4 Tl 3.10
Au: 0.7500 0.7500 0.7498  4 La 3.10, 4 Tl 3.10
La: 0.5000 0.5000 0.5000  8 Au 3.10

D(E_F) ... 0.52 states/eV per atom
Spin magnetization ... 0.00 μB/cell
Electronic total energy ... -4.552 eV/atom
Calculated formation energy ... -0.596 eV per atom
Polymorph energy (0 for the lowest one) ... 0 meV per atom

No. 3
# BRh

BRh after structural relaxation (PBEsol, Alexandria).

Unit cell a=3.3525 b=3.3525 c=4.0836 alpha=90.00 beta=90.00 gamma=120.00
Closest atoms and distances in Å follow each position.
Element x y z (fractional)
B: 0.0000 0.0000 0.0000  2 B 2.04, 6 Rh 2.19
B: 0.0000 0.0000 0.5000  2 B 2.04, 6 Rh 2.19
Rh: 0.6667 0.3333 0.7500  6 B 2.19
Rh: 0.3333 0.6667 0.2500  6 B 2.19

D(E_F) ... 0.10 states/eV per atom
Spin magnetization ... 0.00 μB/cell
Electronic total energy ... -8.022 eV/atom
Calculated formation energy ... -0.444 eV per atom

- The lowest D(E_F) belongs to which entry?
  Na3B6ClO10

- Which of these has the highest spin magnetization?
  Na3B6ClO10